The following is a PBE-GGA calculation of an optimized crystal structure of ZnGaNi3, from Alexandria via LeMat-Bulk.

Structure (extended XYZ):
```
10
Lattice="-3.907 -2.001 -0.762 -0.686 -0.885 5.839 -2.059 4.979 -2.513" Properties=species:S:1:pos:R:3 pbc="T T T"
Ni -3.899 0.328 -0.407
Ni -4.713 2.296 -1.400
Ga -2.578 2.523 0.082
Ga -4.075 -0.430 2.482
Zn 0.000 0.000 0.000
Ni -4.984 1.946 0.907
Ni -1.669 0.147 1.657
Ni -1.940 -0.203 3.964
Ni -2.753 1.765 2.971
Zn -1.954 -1.000 -0.381
```

Values from the calculation:
formation energy from the elements = 0.181 eV/atom
excess energy over the best structure of this formula in the dataset = 0.000 eV per atom
symmetry = P6_3/mmc (194)
calculated total energy = -4.15 eV/atom